# NdDy5Er6 GGA-PBE optimized geometry
# - energy of formation (eV per atom) = 0.0191
data_NdDy5Er6
_chemical_formula_sum 'Nd2 Dy10 Er12'
_space_group_name_H-M_alt 'C 1 2/m 1'
_space_group_IT_number 12
_cell_length_a 6.1239
_cell_length_b 10.5995
_cell_length_c 11.6992
_cell_angle_alpha 90.00
_cell_angle_beta 100.02
_cell_angle_gamma 90.00
loop_
_space_group_symop_operation_xyz
'x,y,z'
'-x,-y,-z'
'-x,y,-z'
'x,-y,z'
'x+1/2,y+1/2,z'
'-x+1/2,-y+1/2,-z'
'-x+1/2,y+1/2,-z'
'x+1/2,-y+1/2,z'
loop_
_atom_site_label
_atom_site_type_symbol
_atom_site_fract_x
_atom_site_fract_y
_atom_site_fract_z
Nd1 Nd 0.0000 0.0000 0.0000
Dy1 Dy 0.0000 0.1669 0.5000
Dy2 Dy 0.0000 0.3333 0.0000
Dy3 Dy 0.0000 0.5000 0.5000
Er1 Er 0.2495 0.5000 0.2512
Er2 Er 0.2504 0.1669 0.2513

# SrZr2Ni GGA-PBE optimized geometry
# - energy of formation (eV per atom) = 0.1470
# - energy above the lowest structure with this stoichiometry (meV/atom) = 129
data_SrZr2Ni
_chemical_formula_sum 'Sr2 Zr4 Ni2'
_space_group_name_H-M_alt 'I m m m'
_space_group_IT_number 71
_space_group_name_Hall '-I 2 2'
_cell_length_a 3.2148
_cell_length_b 5.3121
_cell_length_c 11.0694
_cell_angle_alpha 90.00
_cell_angle_beta 90.00
_cell_angle_gamma 90.00
loop_
_atom_site_label
_atom_site_type_symbol
_atom_site_fract_x
_atom_site_fract_y
_atom_site_fract_z
Sr1 Sr 0.0000 0.0000 0.0000
Zr1 Zr 0.0000 0.5000 0.1992
Ni1 Ni 0.0000 0.0000 0.5000

Repeat the second record exactly.
# SrZr2Ni GGA-PBE optimized geometry
# - energy of formation (eV per atom) = 0.1470
# - energy above the lowest structure with this stoichiometry (meV/atom) = 129
data_SrZr2Ni
_chemical_formula_sum 'Sr2 Zr4 Ni2'
_space_group_name_H-M_alt 'I m m m'
_space_group_IT_number 71
_space_group_name_Hall '-I 2 2'
_cell_length_a 3.2148
_cell_length_b 5.3121
_cell_length_c 11.0694
_cell_angle_alpha 90.00
_cell_angle_beta 90.00
_cell_angle_gamma 90.00
loop_
_atom_site_label
_atom_site_type_symbol
_atom_site_fract_x
_atom_site_fract_y
_atom_site_fract_z
Sr1 Sr 0.0000 0.0000 0.0000
Zr1 Zr 0.0000 0.5000 0.1992
Ni1 Ni 0.0000 0.0000 0.5000